# 1
## Cs2PmBe2Se4 (PBE)

Data for a relaxed structure of Cs2PmBe2Se4.

abc: 8.0562 8.0562 8.6805
angles: 109.41 109.41 28.45
Fractional coordinates of all 9 atoms:
Cs  0.1332  0.1332  0.0395
Cs  0.8668  0.8668  0.9605
Pm  0.0000  0.0000  0.5000
Be  0.3294  0.3294  0.5274
Be  0.6706  0.6706  0.4726
Se  0.2048  0.2048  0.6303
Se  0.4634  0.4634  0.7273
Se  0.5366  0.5366  0.2727
Se  0.7952  0.7952  0.3697

## Properties
As for the uncorrected formation energy: -1.07 eV/atom. Its symmetry is C2/m.



# 2
## CsPmBeSe3 (PBE)

Data for a relaxed structure of CsPmBeSe3.

abc: 9.9694 4.1380 10.0432
angles: 90.00 111.36 90.00
Fractional coordinates of all 12 atoms:
Cs  0.2402  0.2500  0.2076
Cs  0.7598  0.7500  0.7924
Pm  0.1480  0.2500  0.6687
Pm  0.8520  0.7500  0.3313
Be  0.3935  0.7500  0.9244
Be  0.6065  0.2500  0.0756
Se  0.1599  0.7500  0.8806
Se  0.1644  0.7500  0.4698
Se  0.4675  0.2500  0.8412
Se  0.5325  0.7500  0.1588
Se  0.8356  0.2500  0.5302
Se  0.8401  0.2500  0.1194

## Properties
As for the uncorrected formation energy: -1.39 eV/atom. Its symmetry is P2_1/m.



# 3
## CsPmBeTe3 (PBE)

Data for a relaxed structure of CsPmBeTe3.

abc: 8.8984 8.8984 10.0043
angles: 102.30 102.30 34.76
Fractional coordinates of all 12 atoms:
Cs  0.1444  0.1444  0.0540
Cs  0.8556  0.8556  0.9460
Pm  0.1459  0.1459  0.5606
Pm  0.8541  0.8541  0.4394
Be  0.4904  0.4904  0.6996
Be  0.5096  0.5096  0.3004
Te  0.0050  0.0050  0.3001
Te  0.3375  0.3375  0.6446
Te  0.3603  0.3603  0.2479
Te  0.6397  0.6397  0.7521
Te  0.6625  0.6625  0.3554
Te  0.9950  0.9950  0.6999

## Properties
As for the uncorrected formation energy: -0.79 eV/atom. Its symmetry is C2/m.



# 4
## CsPrBeS3 (PBE)

Data for a relaxed structure of CsPrBeS3.

abc: 9.5633 4.0503 9.7554
angles: 90.00 110.12 90.00
Fractional coordinates of all 12 atoms:
Cs  0.2365  0.2500  0.2006
Cs  0.7635  0.7500  0.7994
Pr  0.1555  0.2500  0.6661
Pr  0.8445  0.7500  0.3339
Be  0.3946  0.7500  0.9286
Be  0.6054  0.2500  0.0714
S  0.1585  0.7500  0.4635
S  0.1674  0.7500  0.8768
S  0.4695  0.2500  0.8516
S  0.5305  0.7500  0.1484
S  0.8326  0.2500  0.1232
S  0.8415  0.2500  0.5365

## Properties
As for the uncorrected formation energy: -1.51 eV/atom. Its symmetry is P2_1/m.



# 5
## Cs2PrBe2S4 (PBE)

Data for a relaxed structure of Cs2PrBe2S4.

abc: 7.8318 7.8318 8.4755
angles: 110.93 110.93 28.17
Fractional coordinates of all 9 atoms:
Cs  0.1335  0.1335  0.0449
Cs  0.8665  0.8665  0.9551
Pr  0.0000  0.0000  0.5000
Be  0.3265  0.3265  0.5336
Be  0.6735  0.6735  0.4664
S  0.2064  0.2064  0.6202
S  0.4598  0.4598  0.7247
S  0.5402  0.5402  0.2753
S  0.7936  0.7936  0.3798

## Properties
As for the uncorrected formation energy: -1.19 eV/atom. Its symmetry is C2/m.



# 6
## Cs2PrBe2Se4 (PBE)

Data for a relaxed structure of Cs2PrBe2Se4.

abc: 8.1454 8.1454 8.7544
angles: 110.13 110.13 28.21
Fractional coordinates of all 9 atoms:
Cs  0.1329  0.1329  0.0408
Cs  0.8671  0.8671  0.9592
Pr  0.0000  0.0000  0.5000
Be  0.3287  0.3287  0.5304
Be  0.6713  0.6713  0.4696
Se  0.2060  0.2060  0.6284
Se  0.4625  0.4625  0.7301
Se  0.5375  0.5375  0.2699
Se  0.7940  0.7940  0.3716

## Properties
As for the uncorrected formation energy: -1.07 eV/atom. Its symmetry is C2/m.



# 7
## CsPrBeSe3 (PBE)

Data for a relaxed structure of CsPrBeSe3.

abc: 9.9775 4.1882 10.1127
angles: 90.00 110.49 90.00
Fractional coordinates of all 12 atoms:
Cs  0.2381  0.2500  0.2036
Cs  0.7619  0.7500  0.7964
Pr  0.1508  0.2500  0.6679
Pr  0.8492  0.7500  0.3321
Be  0.3933  0.7500  0.9255
Be  0.6067  0.2500  0.0745
Se  0.1608  0.7500  0.8811
Se  0.1642  0.7500  0.4658
Se  0.4698  0.2500  0.8445
Se  0.5302  0.7500  0.1555
Se  0.8358  0.2500  0.5342
Se  0.8392  0.2500  0.1189

## Properties
As for the uncorrected formation energy: -1.38 eV/atom. Its symmetry is P2_1/m.



# 8
## CsPrBeTe3 (PBE)

Data for a relaxed structure of CsPrBeTe3.

abc: 8.9310 8.9310 10.0506
angles: 102.35 102.35 35.00
Fractional coordinates of all 12 atoms:
Cs  0.1447  0.1447  0.0544
Cs  0.8553  0.8553  0.9456
Pr  0.1458  0.1458  0.5611
Pr  0.8542  0.8542  0.4389
Be  0.4912  0.4912  0.7019
Be  0.5088  0.5088  0.2981
Te  0.0050  0.0050  0.2972
Te  0.3394  0.3394  0.6460
Te  0.3606  0.3606  0.2450
Te  0.6394  0.6394  0.7550
Te  0.6606  0.6606  0.3540
Te  0.9950  0.9950  0.7028

## Properties
As for the uncorrected formation energy: -0.80 eV/atom. Its symmetry is C2/m.



# 9
## CsBe3Pt (PBE)

Data for a relaxed structure of CsBe3Pt.

abc: 4.6134 4.6134 4.6134
angles: 90.00 90.00 90.00
Fractional coordinates of all 5 atoms:
Cs  0.0000  0.0000  0.0000
Be  0.0000  0.5000  0.5000
Be  0.5000  0.0000  0.5000
Be  0.5000  0.5000  0.0000
Pt  0.5000  0.5000  0.5000

## Properties
The value obtained for the energy above the most stable polymorph in this dataset is 0.000 eV per atom. As for the formation energy: 0.274 eV per atom. Its symmetry is Pm-3m.



# 10
## CsBe3Pt (PBE)

Data for a relaxed structure of CsBe3Pt.

abc: 4.7529 4.7529 4.7529
angles: 90.00 90.00 90.00
Fractional coordinates of all 5 atoms:
Cs  0.0000  0.0000  0.0000
Be  0.0000  0.0000  0.5000
Be  0.0000  0.5000  0.0000
Be  0.5000  0.0000  0.0000
Pt  0.5000  0.5000  0.5000

## Properties
The value obtained for the energy above the most stable polymorph in this dataset is 2.423 eV per atom. As for the formation energy: 2.697 eV per atom. Its symmetry is Pm-3m.



# 11
## CsBePt3 (PBE)

Data for a relaxed structure of CsBePt3.

abc: 4.5672 4.5672 4.5672
angles: 90.00 90.00 90.00
Fractional coordinates of all 5 atoms:
Cs  0.0000  0.0000  0.0000
Be  0.5000  0.5000  0.5000
Pt  0.0000  0.5000  0.5000
Pt  0.5000  0.0000  0.5000
Pt  0.5000  0.5000  0.0000

## Properties
The value obtained for the energy above the most stable polymorph in this dataset is 0.000 eV per atom. As for the formation energy: 0.273 eV per atom. Its symmetry is Pm-3m.



# 12
## CsBePt3 (PBE)

Data for a relaxed structure of CsBePt3.

abc: 5.2341 5.2341 5.2341
angles: 90.00 90.00 90.00
Fractional coordinates of all 5 atoms:
Cs  0.0000  0.0000  0.0000
Be  0.5000  0.5000  0.5000
Pt  0.0000  0.0000  0.5000
Pt  0.0000  0.5000  0.0000
Pt  0.5000  0.0000  0.0000

## Properties
The value obtained for the energy above the most stable polymorph in this dataset is 2.180 eV per atom. As for the formation energy: 2.453 eV per atom. Its symmetry is Pm-3m.



# 13
## CsBe2Pt (PBE)

Data for a relaxed structure of CsBe2Pt.

abc: 6.8302 6.8302 6.8302
angles: 90.00 90.00 90.00
Fractional coordinates of all 16 atoms:
Cs  0.0000  0.0000  0.0000
Cs  0.0000  0.5000  0.5000
Cs  0.5000  0.0000  0.5000
Cs  0.5000  0.5000  0.0000
Be  0.2500  0.2500  0.2500
Be  0.2500  0.2500  0.7500
Be  0.2500  0.7500  0.2500
Be  0.2500  0.7500  0.7500
Be  0.7500  0.2500  0.2500
Be  0.7500  0.2500  0.7500
Be  0.7500  0.7500  0.2500
Be  0.7500  0.7500  0.7500
Pt  0.0000  0.0000  0.5000
Pt  0.0000  0.5000  0.0000
Pt  0.5000  0.0000  0.0000
Pt  0.5000  0.5000  0.5000

## Properties
As for the formation energy: 1.228 eV per atom. Its symmetry is Fm-3m.



# 14
## CsBePt2 (PBE)

Data for a relaxed structure of CsBePt2.

abc: 5.3155 5.3155 14.8239
angles: 90.00 90.00 90.00
Fractional coordinates of all 16 atoms:
Cs  0.0000  0.2500  0.3750
Cs  0.0000  0.7500  0.6250
Cs  0.5000  0.2500  0.1250
Cs  0.5000  0.7500  0.8750
Be  0.0000  0.2500  0.8750
Be  0.0000  0.7500  0.1250
Be  0.5000  0.2500  0.6250
Be  0.5000  0.7500  0.3750
Pt  0.0000  0.0000  0.0000
Pt  0.0000  0.5000  0.0000
Pt  0.2500  0.2500  0.7500
Pt  0.2500  0.7500  0.2500
Pt  0.5000  0.0000  0.5000
Pt  0.5000  0.5000  0.5000
Pt  0.7500  0.2500  0.7500
Pt  0.7500  0.7500  0.2500

## Properties
As for the formation energy: 0.009 eV per atom. Its symmetry is I4_1/amd.



# 15
## CsBeRe2Pt (PBE)

Data for a relaxed structure of CsBeRe2Pt.

abc: 4.4880 4.4880 4.4326
angles: 90.00 90.00 90.00
Fractional coordinates of all 5 atoms:
Cs  0.0000  0.0000  0.0000
Be  0.5000  0.5000  0.5000
Re  0.0000  0.5000  0.5000
Re  0.5000  0.0000  0.5000
Pt  0.5000  0.5000  0.0000

## Properties
As for the formation energy: 1.622 eV per atom. Its symmetry is P4/mmm.



# 16
## Cs2BeSbPt (PBE)

Data for a relaxed structure of Cs2BeSbPt.

abc: 6.9436 6.9436 4.9928
angles: 90.00 90.00 90.00
Fractional coordinates of all 5 atoms:
Cs  0.0000  0.5000  0.0000
Cs  0.5000  0.0000  0.0000
Be  0.0000  0.0000  0.5000
Sb  0.5000  0.5000  0.5000
Pt  0.5000  0.5000  0.0000

## Properties
As for the uncorrected formation energy: 0.38 eV/atom. Its symmetry is P4/mmm.



# 17
## Cs2BePtSe (PBE)

Data for a relaxed structure of Cs2BePtSe.

abc: 6.7989 6.7989 4.1339
angles: 90.00 90.00 90.00
Fractional coordinates of all 5 atoms:
Cs  0.0000  0.5000  0.0000
Cs  0.5000  0.0000  0.0000
Be  0.0000  0.0000  0.0000
Pt  0.0000  0.0000  0.5000
Se  0.5000  0.5000  0.5000

## Properties
As for the uncorrected formation energy: -0.01 eV/atom. Its symmetry is P4/mmm.



# 18
## CsBe2SnPt (PBE)

Data for a relaxed structure of CsBe2SnPt.

abc: 4.5420 4.5420 7.4707
angles: 90.00 90.00 90.00
Fractional coordinates of all 5 atoms:
Cs  0.0000  0.0000  0.0000
Be  0.0000  0.5000  0.5000
Be  0.5000  0.0000  0.5000
Sn  0.0000  0.0000  0.5000
Pt  0.5000  0.5000  0.0000

## Properties
As for the formation energy: 1.171 eV per atom. Its symmetry is P4/mmm.



# 19
## Cs2BeSnPt (PBE)

Data for a relaxed structure of Cs2BeSnPt.

abc: 6.9773 6.9773 4.2177
angles: 90.00 90.00 90.00
Fractional coordinates of all 5 atoms:
Cs  0.0000  0.5000  0.0000
Cs  0.5000  0.0000  0.0000
Be  0.0000  0.0000  0.0000
Sn  0.5000  0.5000  0.5000
Pt  0.0000  0.0000  0.5000

## Properties
As for the formation energy: 0.327 eV per atom. Its symmetry is P4/mmm.



# 20
## CsSrBePt2 (PBE)

Data for a relaxed structure of CsSrBePt2.

abc: 5.4061 5.4061 5.2296
angles: 90.00 90.00 90.00
Fractional coordinates of all 5 atoms:
Cs  0.0000  0.0000  0.0000
Sr  0.5000  0.5000  0.5000
Be  0.0000  0.0000  0.5000
Pt  0.0000  0.5000  0.0000
Pt  0.5000  0.0000  0.0000

## Properties
As for the formation energy: 1.272 eV per atom. Its symmetry is P4/mmm.